(1)
The following is a DFT calculation (GGA-PBE) of an optimized crystal structure of Y2NiN.

## Properties
raw formation energy	-0.65	eV/atom
excess energy over the best structure of this formula in the dataset	148	meV/atom
calculated density	5.12	Mg/m³

abc: 6.457 6.457 7.795
angles: 90.00 90.00 90.00
Space group I-42d (No. 122)
Unique sites:
Y (0.191, 0.250, 0.125) x8
Ni (0.000, 0.000, 0.500) x4
N (0.000, 0.000, 0.000) x4

(2)
The following is a DFT calculation (GGA-PBE) of an optimized crystal structure of K3NiSb.

## Properties
raw formation energy	0.46	eV/atom
excess energy over the best structure of this formula in the dataset	0	meV/atom
calculated density	2.28	Mg/m³

abc: 6.009 6.009 6.009
angles: 90.00 90.00 90.00
Space group Pm-3m (No. 221)
Unique sites:
K (0.000, 0.000, 0.500) x3
Ni (0.000, 0.000, 0.000) x1
Sb (0.500, 0.500, 0.500) x1

(3)
The following is a DFT calculation (GGA-PBE) of an optimized crystal structure of KPSeBr2.

## Properties
raw formation energy	-0.52	eV/atom
excess energy over the best structure of this formula in the dataset	0	meV/atom
calculated density	3.58	Mg/m³

abc: 5.492 5.492 4.754
angles: 90.00 90.00 90.00
Space group P4/mmm (No. 123)
Unique sites:
K (0.000, 0.000, 0.000) x1
P (0.500, 0.500, 0.500) x1
Se (0.500, 0.500, 0.000) x1
Br (0.000, 0.500, 0.500) x2

(4)
The following is a DFT calculation (GGA-PBE) of an optimized crystal structure of NpV2Ir.

## Properties
excess energy over the best structure of this formula in the dataset	121	meV/atom
calculated density	14.19	Mg/m³

abc: 6.287 6.287 6.287
angles: 90.00 90.00 90.00
Space group Fm-3m (No. 225)
Unique sites:
Np (0.000, 0.000, 0.000) x4
V (0.250, 0.250, 0.250) x8
Ir (0.000, 0.000, 0.500) x4

(5)
The following is a DFT calculation (GGA-PBE) of an optimized crystal structure of CdSn2Br8.

## Properties
raw formation energy	-0.63	eV/atom
calculated density	3.37	Mg/m³

abc: 13.356 10.917 6.755
angles: 90.00 98.39 90.00
Space group C2/m (No. 12)
Unique sites:
Cd (0.000, 0.000, 0.000) x2
Sn (0.217, 0.000, 0.683) x4
Br (0.091, 0.500, 0.117) x4
Br (0.093, 0.176, 0.783) x8
Br (0.184, 0.000, 0.279) x4

(6)
The following is a DFT calculation (GGA-PBE) of an optimized crystal structure of Rb3Ga2Au4.

## Properties
DFT total energy	-24.52	eV per formula unit
calculated density	7.29	Mg/m³

abc: 12.910 4.563 9.655
angles: 90.00 108.52 90.00
Space group C2/m (No. 12)
Unique sites:
Rb (0.000, 0.000, 0.000) x2
Rb (0.127, 0.500, 0.378) x4
Ga (0.180, 0.500, 0.782) x4
Au (0.083, 0.000, 0.634) x4
Au (0.249, 0.500, 0.086) x4

(7)
The following is a DFT calculation (GGA-PBE) of an optimized crystal structure of BaLiInRh.

## Properties
DFT total energy	-15.12	eV per formula unit
calculated density	5.63	Mg/m³

abc: 4.5686 4.5686 17.7342
angles: 90.00 90.00 120.00
Space group R3m (No. 160, hexagonal axes)
Unique sites:
Ba (0.0000, 0.0000, 0.0000) x3
Li (0.0000, 0.0000, 0.5186) x3
In (0.0000, 0.0000, 0.8066) x3
Rh (0.0000, 0.0000, 0.1913) x3

(8)
The following is a DFT calculation (GGA-PBE) of an optimized crystal structure of CsAgI.

## Properties
raw formation energy	-0.67	eV/atom
calculated density	4.18	Mg/m³

abc: 4.985 5.699 10.735
angles: 105.05 96.90 90.03
Space group P-1 (No. 2)
Unique sites:
Cs (0.190, 0.139, 0.275) x2
Ag (0.212, 0.465, 0.931) x2
I (0.305, 0.329, 0.661) x2

(9)
The following is a DFT calculation (GGA-PBE) of an optimized crystal structure of PrTaBrO4.

## Properties
raw formation energy	-2.59	eV/atom
calculated density	5.19	Mg/m³

abc: 12.697 6.723 7.202
angles: 90.00 103.99 90.00
Space group C2/m (No. 12)
Unique sites:
Pr (0.210, 0.000, 0.335) x4
Ta (0.125, 0.000, 0.748) x4
Br (0.011, 0.500, 0.164) x4
O (0.024, 0.000, 0.294) x4
O (0.179, 0.212, 0.625) x8
O (0.188, 0.000, 0.008) x4

(10)
The following is a DFT calculation (GGA-PBE) of an optimized crystal structure of Pr2PaSb3.

## Properties
raw formation energy	-0.94	eV/atom
calculated density	7.60	Mg/m³

abc: 8.986 12.697 26.908
angles: 90.00 90.00 90.00
Space group Fddd (No. 70, origin choice 2)
Unique sites:
Pr (0.125, 0.125, 0.043) x16
Pr (0.125, 0.125, 0.373) x16
Pa (0.125, 0.125, 0.541) x16
Sb (0.114, 0.375, 0.875) x16
Sb (0.119, 0.370, 0.710) x32

(11)
The following is a DFT calculation (GGA-PBE) of an optimized crystal structure of FePtCl4.

## Properties
raw formation energy	1.25	eV/atom
calculated density	5.20	Mg/m³

abc: 7.945 7.945 7.945
angles: 90.00 90.00 90.00
Space group F-43m (No. 216)
Unique sites:
Fe (0.000, 0.000, 0.000) x4
Pt (0.250, 0.250, 0.750) x4
Cl (0.125, 0.125, 0.375) x16

(12)
The following is a DFT calculation (GGA-PBE) of an optimized crystal structure of Na2AgTe2.

## Properties
raw formation energy	-0.56	eV/atom
excess energy over the best structure of this formula in the dataset	0	meV/atom
calculated density	4.83	Mg/m³

abc: 12.073 4.775 10.540
angles: 90.00 112.28 90.00
Space group C2/m (No. 12)
Unique sites:
Na (0.022, 0.000, 0.350) x4
Na (0.164, 0.000, 0.081) x4
Ag (0.195, 0.500, 0.342) x4
Te (0.042, 0.500, 0.879) x4
Te (0.169, 0.500, 0.617) x4

Number 1: spin magnetization 0.00 μB per cell. Number 2: spin magnetization 2.00 μB per cell. Number 3: spin magnetization 0.00 μB per cell. Number 4: spin magnetization 14.28 μB per cell. Number 5: spin magnetization 0.00 μB per cell. Number 6: spin magnetization 0.00 μB per cell. Number 7: spin magnetization 0.00 μB per cell. Number 8: spin magnetization 0.00 μB per cell. Number 9: spin magnetization 0.00 μB per cell. Number 10: spin magnetization 11.01 μB per cell. Number 11: spin magnetization 11.27 μB per cell. Number 12: spin magnetization 0.00 μB per cell.